The following is a DFT calculation (PBE-GGA) of a relaxed PmDy3Th crystal.

Its offset from the most stable computed form is 137 meV per atom. The calculation puts the formation energy at 179 meV/atom.

a = 6.238 Å, b = 6.238 Å, c = 11.011 Å
α = 90.02°, β = 90.02°, γ = 129.42°
Fractional positions:
1 Pm 0.153 0.847 0.000
2 Pm 0.847 0.153 0.000
3 Dy 0.151 0.848 0.306
4 Dy 0.152 0.849 0.694
5 Dy 0.500 0.500 0.174
6 Dy 0.500 0.500 0.826
7 Dy 0.848 0.151 0.306
8 Dy 0.849 0.152 0.694
9 Th 0.365 0.635 0.500
10 Th 0.635 0.365 0.500

The following is a DFT calculation (PBE-GGA) of a relaxed Pm2Pr2Nd2Sm crystal.

The calculation puts the formation energy at 13 meV/atom.

a = 6.366 Å, b = 6.366 Å, c = 8.230 Å
α = 97.35°, β = 97.35°, γ = 48.17°
Fractional positions:
1 Pm 0.143 0.143 0.428
2 Pm 0.857 0.857 0.572
3 Pr 0.286 0.286 0.857
4 Pr 0.714 0.714 0.143
5 Nd 0.429 0.429 0.287
6 Nd 0.571 0.571 0.713
7 Sm 0.000 0.000 0.000

The following is a DFT calculation (PBE-GGA) of a relaxed AcNdPd crystal.

Its offset from the most stable computed form is 4 meV per atom. The calculation puts the formation energy at -431 meV/atom.

a = 7.082 Å, b = 7.082 Å, c = 7.082 Å
α = 149.14°, β = 149.14°, γ = 44.21°
Fractional positions:
1 Ac 0.000 0.000 0.000
2 Nd 0.730 0.730 0.000
3 Pd 0.352 0.352 0.000

The following is a DFT calculation (PBE-GGA) of a relaxed La2Pm12Mg crystal.

The calculation puts the formation energy at 271 meV/atom.

a = 6.687 Å, b = 6.687 Å, c = 24.332 Å
α = 90.00°, β = 90.00°, γ = 90.00°
Fractional positions:
1 La 0.250 0.750 0.247
2 La 0.250 0.750 0.753
3 La 0.750 0.250 0.247
4 La 0.750 0.250 0.753
5 Pm 0.007 0.507 0.099
6 Pm 0.007 0.993 0.901
7 Pm 0.083 0.583 0.564
8 Pm 0.083 0.917 0.436
9 Pm 0.250 0.250 0.203
10 Pm 0.250 0.250 0.331
11 Pm 0.250 0.250 0.669
12 Pm 0.250 0.250 0.797
13 Pm 0.417 0.583 0.436
14 Pm 0.417 0.917 0.564
15 Pm 0.493 0.507 0.901
16 Pm 0.493 0.993 0.099
17 Pm 0.507 0.007 0.901
18 Pm 0.507 0.493 0.099
19 Pm 0.583 0.083 0.436
20 Pm 0.583 0.417 0.564
21 Pm 0.750 0.750 0.203
22 Pm 0.750 0.750 0.331
23 Pm 0.750 0.750 0.669
24 Pm 0.750 0.750 0.797
25 Pm 0.917 0.083 0.564
26 Pm 0.917 0.417 0.436
27 Pm 0.993 0.007 0.099
28 Pm 0.993 0.493 0.901
29 Mg 0.250 0.750 0.000
30 Mg 0.750 0.250 0.000

The following is a DFT calculation (PBE-GGA) of a relaxed Cs2CaSbS4 crystal.

The uncorrected formation energy comes out at -0.95 eV/atom.

a = 14.857 Å, b = 13.255 Å, c = 8.221 Å
α = 84.06°, β = 62.55°, γ = 33.39°
Fractional positions:
1 Cs 0.057 0.057 0.693
2 Cs 0.307 0.307 0.943
3 Cs 0.693 0.693 0.057
4 Cs 0.943 0.943 0.307
5 Ca 0.125 0.125 0.125
6 Ca 0.875 0.875 0.875
7 Sb 0.375 0.375 0.375
8 Sb 0.625 0.625 0.625
9 S 0.006 0.345 0.445
10 S 0.296 0.555 0.655
11 S 0.345 0.006 0.704
12 S 0.445 0.704 0.006
13 S 0.555 0.296 0.994
14 S 0.655 0.994 0.296
15 S 0.704 0.445 0.345
16 S 0.994 0.655 0.555

The following is a DFT calculation (PBE-GGA) of a relaxed Ho2Ni15Ru2 crystal.

The calculation puts the formation energy at -169 meV/atom.

a = 6.304 Å, b = 6.304 Å, c = 6.304 Å
α = 82.41°, β = 82.41°, γ = 82.41°
Fractional positions:
1 Ho 0.156 0.156 0.156
2 Ho 0.844 0.844 0.844
3 Ni 0.000 0.500 0.500
4 Ni 0.156 0.156 0.657
5 Ni 0.156 0.657 0.156
6 Ni 0.199 0.500 0.801
7 Ni 0.199 0.801 0.500
8 Ni 0.343 0.844 0.844
9 Ni 0.500 0.000 0.500
10 Ni 0.500 0.199 0.801
11 Ni 0.500 0.500 0.000
12 Ni 0.500 0.801 0.199
13 Ni 0.657 0.156 0.156
14 Ni 0.801 0.199 0.500
15 Ni 0.801 0.500 0.199
16 Ni 0.844 0.343 0.844
17 Ni 0.844 0.844 0.343
18 Ru 0.403 0.403 0.403
19 Ru 0.597 0.597 0.597

The following is a DFT calculation (PBE-GGA) of a relaxed ZrInCu2 crystal.

The calculation puts the formation energy at 278 meV/atom.

a = 5.893 Å, b = 5.893 Å, c = 5.893 Å
α = 104.53°, β = 104.53°, γ = 119.88°
Fractional positions:
1 Zr 0.000 0.000 0.000
2 Zr 0.750 0.250 0.500
3 In 0.250 0.750 0.500
4 In 0.500 0.500 0.000
5 Cu 0.132 0.125 0.507
6 Cu 0.375 0.868 0.993
7 Cu 0.618 0.625 0.493
8 Cu 0.875 0.382 0.007

The following is a DFT calculation (PBE-GGA) of a relaxed AgTeCN2 crystal.

Its offset from the most stable computed form is 429 meV per atom. The uncorrected formation energy comes out at 2.80 eV/atom.

a = 3.847 Å, b = 3.847 Å, c = 7.986 Å
α = 90.00°, β = 90.00°, γ = 90.00°
Fractional positions:
1 Ag 0.000 0.000 0.000
2 Te 0.000 0.000 0.500
3 C 0.500 0.500 0.500
4 N 0.000 0.500 0.000
5 N 0.500 0.000 0.000

The following is a DFT calculation (PBE-GGA) of a relaxed InReTe2 crystal.

The uncorrected formation energy comes out at 0.86 eV/atom.

a = 5.177 Å, b = 5.177 Å, c = 3.375 Å
α = 90.00°, β = 90.00°, γ = 90.00°
Fractional positions:
1 In 0.000 0.000 0.000
2 Re 0.500 0.500 0.000
3 Te 0.000 0.500 0.500
4 Te 0.500 0.000 0.500

The following is a DFT calculation (PBE-GGA) of a relaxed K2Rb7Hg2 crystal.

The calculation puts the formation energy at 5 meV/atom.

a = 10.046 Å, b = 10.046 Å, c = 9.704 Å
α = 97.61°, β = 97.61°, γ = 112.20°
Fractional positions:
1 K 0.125 0.875 0.000
2 K 0.875 0.125 0.000
3 Rb 0.101 0.536 0.292
4 Rb 0.171 0.171 0.682
5 Rb 0.464 0.899 0.708
6 Rb 0.500 0.500 0.500
7 Rb 0.536 0.101 0.292
8 Rb 0.829 0.829 0.318
9 Rb 0.899 0.464 0.708
10 Hg 0.170 0.170 0.290
11 Hg 0.830 0.830 0.710

The following is a DFT calculation (PBE-GGA) of a relaxed Sm12CuBi6 crystal.

The calculation puts the formation energy at -430 meV/atom.

a = 8.857 Å, b = 8.857 Å, c = 8.857 Å
α = 99.78°, β = 99.78°, γ = 99.78°
Fractional positions:
1 Sm 0.012 0.685 0.944
2 Sm 0.056 0.988 0.315
3 Sm 0.198 0.414 0.546
4 Sm 0.315 0.056 0.988
5 Sm 0.414 0.546 0.198
6 Sm 0.454 0.802 0.586
7 Sm 0.546 0.198 0.414
8 Sm 0.586 0.454 0.802
9 Sm 0.685 0.944 0.012
10 Sm 0.802 0.586 0.454
11 Sm 0.944 0.012 0.685
12 Sm 0.988 0.315 0.056
13 Cu 0.000 0.000 0.000
14 Bi 0.119 0.644 0.316
15 Bi 0.316 0.119 0.644
16 Bi 0.356 0.684 0.881
17 Bi 0.644 0.316 0.119
18 Bi 0.684 0.881 0.356
19 Bi 0.881 0.356 0.684

The following is a DFT calculation (PBE-GGA) of a relaxed ErHf2Np crystal.

Its offset from the most stable computed form is 0 meV per atom. The calculation puts the formation energy at 311 meV/atom.

a = 10.869 Å, b = 10.869 Å, c = 10.869 Å
α = 17.07°, β = 17.07°, γ = 17.07°
Fractional positions:
1 Er 0.000 0.000 0.000
2 Hf 0.247 0.247 0.247
3 Hf 0.753 0.753 0.753
4 Np 0.500 0.500 0.500

DFT total energy / eV per atom: -5.017; -4.747; -5.121; -4.293; -3.997; -6.191; -4.592; -3.573; -4.509; -0.865; -4.851; -9.041